1.
# KLaY2 (PBE-GGA, optimized geometry)
data_KLaY2
_space_group_name_H-M_alt 'C 1 2/m 1'
_space_group_IT_number 12
_cell_length_a 12.754
_cell_length_b 3.618
_cell_length_c 6.697
_cell_angle_alpha 90.00
_cell_angle_beta 101.20
_cell_angle_gamma 90.00
loop_
_space_group_symop_operation_xyz
'x,y,z'
'-x,-y,-z'
'-x,y,-z'
'x,-y,z'
'x+1/2,y+1/2,z'
'-x+1/2,-y+1/2,-z'
'-x+1/2,y+1/2,-z'
'x+1/2,-y+1/2,z'
loop_
_atom_site_label
_atom_site_type_symbol
_atom_site_fract_x
_atom_site_fract_y
_atom_site_fract_z
K1 K 0.000 0.000 0.000
La1 La 0.000 0.500 0.500
Y1 Y 0.237 0.000 0.724
# Energy relative to the elements: 0.378 eV/atom

2.
# MgZrAu (PBE-GGA, optimized geometry)
data_MgZrAu
_space_group_name_H-M_alt 'C 1 2/m 1'
_space_group_IT_number 12
_cell_length_a 14.958
_cell_length_b 3.391
_cell_length_c 4.748
_cell_angle_alpha 90.00
_cell_angle_beta 90.06
_cell_angle_gamma 90.00
loop_
_space_group_symop_operation_xyz
'x,y,z'
'-x,-y,-z'
'-x,y,-z'
'x,-y,z'
'x+1/2,y+1/2,z'
'-x+1/2,-y+1/2,-z'
'-x+1/2,y+1/2,-z'
'x+1/2,-y+1/2,z'
loop_
_atom_site_label
_atom_site_type_symbol
_atom_site_fract_x
_atom_site_fract_y
_atom_site_fract_z
Mg1 Mg 0.243 0.000 0.250
Zr1 Zr 0.065 0.500 0.250
Au1 Au 0.110 0.000 0.750
# Energy relative to the elements: -0.326 eV/atom

3.
# ZnSClO4 (PBE-GGA, optimized geometry)
data_ZnSClO4
_space_group_name_H-M_alt 'C 1 2/m 1'
_space_group_IT_number 12
_cell_length_a 9.790
_cell_length_b 5.639
_cell_length_c 7.910
_cell_angle_alpha 90.00
_cell_angle_beta 100.86
_cell_angle_gamma 90.00
loop_
_space_group_symop_operation_xyz
'x,y,z'
'-x,-y,-z'
'-x,y,-z'
'x,-y,z'
'x+1/2,y+1/2,z'
'-x+1/2,-y+1/2,-z'
'-x+1/2,y+1/2,-z'
'x+1/2,-y+1/2,z'
loop_
_atom_site_label
_atom_site_type_symbol
_atom_site_fract_x
_atom_site_fract_y
_atom_site_fract_z
Zn1 Zn 0.200 0.000 0.213
S1 S 0.131 0.000 0.766
Cl1 Cl 0.019 0.500 0.127
O1 O 0.022 0.000 0.300
O2 O 0.163 0.000 0.957
O3 O 0.191 0.214 0.697
# ΔE_f (raw): -1.1292 eV per atom

4.
# PaNiP2Ru (PBE-GGA, optimized geometry)
data_PaNiP2Ru
_space_group_name_H-M_alt 'I -4 m 2'
_space_group_IT_number 119
_space_group_name_Hall 'I -4 -2'
_cell_length_a 3.857
_cell_length_b 3.857
_cell_length_c 10.113
_cell_angle_alpha 90.00
_cell_angle_beta 90.00
_cell_angle_gamma 90.00
loop_
_atom_site_label
_atom_site_type_symbol
_atom_site_fract_x
_atom_site_fract_y
_atom_site_fract_z
Pa1 Pa 0.000 0.000 0.000
Ni1 Ni 0.000 0.500 0.250
P1 P 0.000 0.000 0.385
Ru1 Ru 0.000 0.500 0.750
# Energy relative to the elements: -0.862 eV/atom

5.
# LaNdP2 (PBE-GGA, optimized geometry)
data_LaNdP2
_space_group_name_H-M_alt 'R -3 m'
_space_group_IT_number 166
_space_group_name_Hall '-R 3 2"'
_cell_length_a 4.2226
_cell_length_b 4.2226
_cell_length_c 20.6827
_cell_angle_alpha 90.00
_cell_angle_beta 90.00
_cell_angle_gamma 120.00
loop_
_atom_site_label
_atom_site_type_symbol
_atom_site_fract_x
_atom_site_fract_y
_atom_site_fract_z
La1 La 0.0000 0.0000 0.0000
Nd1 Nd 0.0000 0.0000 0.5000
P1 P 0.0000 0.0000 0.2486
# Energy relative to the elements: -1.556 eV/atom

6.
# CrRh2 (PBE-GGA, optimized geometry)
data_CrRh2
_space_group_name_H-M_alt 'P 4/m m m'
_space_group_IT_number 123
_space_group_name_Hall '-P 4 2'
_cell_length_a 4.056
_cell_length_b 4.056
_cell_length_c 2.835
_cell_angle_alpha 90.00
_cell_angle_beta 90.00
_cell_angle_gamma 90.00
loop_
_atom_site_label
_atom_site_type_symbol
_atom_site_fract_x
_atom_site_fract_y
_atom_site_fract_z
Cr1 Cr 0.000 0.000 0.000
Rh1 Rh 0.000 0.500 0.500
# Energy relative to the elements: 0.462 eV/atom

Across the entries above, size of the total moment takes the values 0.001; 0.696; 0.000; 0.000; 0.000; 0.875 μB/f.u., respectively.
Across the entries above, electronic total energy takes the values -4.360; -4.800; -4.998; -7.937; -6.685; -7.647 eV/atom, respectively.